DFT (PBE) results for a relaxed structure of La3ZrZn4.

- Electronic total energy: -30.5 eV per cell
- Volume: 24.3 Å³/atom
- Symmetry: P4/mmm
- ΔE_f: -258 meV per atom

a = 3.6226 Å, b = 3.6226 Å, c = 14.8132 Å
α = 90.00°, β = 90.00°, γ = 90.00°
Sites, in units of the cell vectors:
Zn 0.0000 0.0000 0.9035
Zn 0.0000 0.0000 0.0965
Zn 0.0000 0.0000 0.6316
Zn 0.0000 0.0000 0.3684
Zr 0.5000 0.5000 0.0000
La 0.5000 0.5000 0.7663
La 0.5000 0.5000 0.2337
La 0.5000 0.5000 0.5000